[1]
LiSb2Br | PBE-GGA | optimized geometry

```
LiSb2Br
1.0
3.373 0.000 0.000
0.000 5.292 0.000
0.000 0.000 5.990
Br Li Sb
1 1 2
Cartesian
1.686 2.646 1.497
1.686 2.646 4.492
0.000 0.000 5.866
0.000 0.000 3.119
```

Properties
Space-group type = Pmmm
Energy = -3.131 eV per atom
Formation energy (no corrections) = -0.173 eV per atom
Size of the total moment = 0.0 Bohr magnetons per cell



[2]
TmPuHg2 | PBE-GGA | optimized geometry

```
TmPuHg2
1.0
3.580 0.001 0.001
1.790 3.100 0.001
1.792 1.034 9.824
Tm Pu Hg
1 1 2
Cartesian
3.580 2.067 0.005
3.580 2.067 4.905
1.791 1.034 7.490
1.791 1.034 2.338
```

Properties
Space-group type = R3m
Energy = -5.001 eV per atom
DFT formation energy = -0.60 eV per formula unit
Size of the total moment = 6.1 Bohr magnetons per cell



[3]
Tb7Dy12Sn | PBE-GGA | optimized geometry

```
Tb7Dy12Sn
1.0
-8.093 -3.064 -1.003
2.905 -8.204 0.383
-1.162 -0.160 8.632
Tb Dy Sn
7 12 1
Cartesian
-0.805 -5.917 6.602
-3.247 -3.223 6.494
-0.079 -7.231 3.289
-3.175 -5.714 4.006
-6.271 -4.197 4.723
-3.103 -8.204 1.517
-5.546 -5.511 1.410
-0.124 -2.909 7.791
-6.217 -3.112 7.940
-3.828 -2.520 2.521
-5.782 -8.171 3.958
1.208 -8.588 6.014
-4.807 -6.515 7.093
-1.543 -4.913 0.919
-7.558 -2.839 1.998
-0.569 -3.257 4.054
-2.522 -8.908 5.490
-0.133 -8.316 0.071
-6.226 -8.519 0.221
0.000 0.000 0.000
```

Properties
Space-group type = R-3
Energy = -4.431 eV per atom
DFT formation energy = 3.03 eV per formula unit
Size of the total moment = 0.0 Bohr magnetons per cell



[4]
LiAg2Cl | PBE-GGA | optimized geometry

```
LiAg2Cl
1.0
-2.099 -2.786 -0.745
0.752 0.362 -3.472
4.592 -3.625 0.617
Ag Cl Li
2 1 1
Cartesian
4.487 -3.542 0.603
2.401 -1.895 0.323
0.474 -2.118 -1.954
2.770 -3.931 -1.646
```

Properties
Space-group type = P4/mmm
Energy = -2.664 eV per atom
Formation energy (no corrections) = -0.298 eV per atom
Size of the total moment = 0.0 Bohr magnetons per cell



[5]
Cs3CdAs | PBE-GGA | optimized geometry

```
Cs3CdAs
1.0
9.772 0.000 0.000
0.000 8.461 -1.096
0.000 0.708 12.293
Cs Cd As
12 4 4
Cartesian
0.251 2.308 3.663
9.522 6.861 7.534
5.137 6.507 1.388
4.636 2.662 9.809
4.596 2.700 4.464
5.176 6.469 6.733
9.482 6.115 0.587
0.290 3.054 10.611
8.130 3.126 7.060
1.642 6.043 4.137
3.244 6.397 10.284
6.528 2.772 0.913
7.635 7.759 4.021
2.137 1.410 7.176
2.749 1.056 1.029
7.023 8.113 10.168
2.689 3.707 1.079
7.084 5.462 10.118
7.575 5.108 3.972
2.197 4.061 7.225
```

Properties
Space-group type = P2_1/c
Energy = -1.899 eV per atom
DFT formation energy = -1.37 eV per formula unit
Size of the total moment = 0.0 Bohr magnetons per cell



[6]
Cs2KHg2 | PBE-GGA | optimized geometry

```
Cs2KHg2
1.0
9.748 0.000 0.000
0.000 9.748 0.000
0.000 0.000 5.652
Cs K Hg
4 2 4
Cartesian
1.680 6.554 2.826
6.554 8.068 2.826
8.068 3.194 2.826
3.194 1.680 2.826
0.000 0.000 0.000
4.874 4.874 0.000
3.744 8.618 0.000
8.618 6.004 0.000
6.004 1.130 0.000
1.130 3.744 0.000
```

Properties
Space-group type = P4/mbm
Energy = -0.876 eV per atom
DFT formation energy = -0.97 eV per formula unit
Size of the total moment = 0.0 Bohr magnetons per cell



[7]
InGa3Pd7 | PBE-GGA | optimized geometry

```
InGa3Pd7
1.0
-0.556 -3.843 3.636
-2.205 -3.135 -4.508
5.545 -1.414 -1.506
In Ga Pd
1 3 7
Cartesian
1.392 -4.196 -1.189
-0.603 -2.779 -3.887
-0.278 -1.922 1.818
3.943 -1.770 -2.127
0.563 -1.702 -0.478
1.087 -4.821 -4.150
-0.956 -4.161 0.745
3.740 -4.232 -3.122
1.670 -2.275 -3.007
1.697 -3.572 1.772
2.221 -6.690 -1.900
```

Properties
Space-group type = C2/m
Energy = -4.818 eV per atom
DFT formation energy = -4.82 eV per formula unit
Size of the total moment = 0.0 Bohr magnetons per cell



[8]
NdSm6Ho3 | PBE-GGA | optimized geometry

```
NdSm6Ho3
1.0
-0.804 -6.328 -0.968
4.695 -2.201 10.496
-11.113 1.894 -3.159
Nd Sm Ho
2 12 6
Cartesian
-8.615 1.197 -1.004
1.783 -4.766 7.842
-3.488 -0.933 5.713
-5.753 -3.614 3.620
-8.046 -1.396 1.648
-1.543 -6.349 7.129
4.222 -4.039 10.006
-6.998 -4.392 0.177
-0.302 -2.859 6.098
-11.524 -3.227 -3.733
-5.806 -1.289 -0.913
0.697 -6.242 4.568
-1.190 -0.823 3.085
-3.454 -3.504 0.992
-3.717 -3.844 7.362
-8.132 -5.968 3.412
-4.573 -0.439 2.463
-2.404 -4.269 4.201
-3.882 -5.765 -1.448
0.533 -3.641 2.503
```

Properties
Space-group type = Cmc2_1
Energy = -4.555 eV per atom
DFT formation energy = 1.27 eV per formula unit
Size of the total moment = 0.0 Bohr magnetons per cell